The following is a GGA-PBE calculation of BaLaH6Pd2 after structural relaxation, from the Alexandria database.

a b c (Å): 6.671 6.671 7.099
angles (deg): 105.05 105.05 102.24
Element x y z (fractional)
1 H 0.426 0.913 0.636
2 H 0.913 0.426 0.136
3 H 0.574 0.087 0.364
4 H 0.487 0.693 0.121
5 H 0.132 0.224 0.505
6 H 0.693 0.487 0.621
7 H 0.776 0.868 0.995
8 H 0.307 0.513 0.379
9 H 0.224 0.132 0.005
10 H 0.087 0.574 0.864
11 H 0.513 0.307 0.879
12 H 0.868 0.776 0.495
13 Ba 0.158 0.842 0.250
14 Ba 0.842 0.158 0.750
15 Pd 0.959 0.671 0.680
16 Pd 0.671 0.959 0.180
17 Pd 0.041 0.329 0.320
18 Pd 0.329 0.041 0.820
19 La 0.410 0.590 0.750
20 La 0.590 0.410 0.250

Calculated values
Space group: C2/c (15)



The following is a GGA-PBE calculation of Ba2LaH12Rh3 after structural relaxation, from the Alexandria database.

a b c (Å): 6.432 6.432 6.432
angles (deg): 65.44 65.44 65.44
Element x y z (fractional)
1 H 0.722 0.722 0.088
2 H 0.578 0.127 0.127
3 H 0.088 0.722 0.722
4 H 0.873 0.873 0.422
5 H 0.722 0.088 0.722
6 H 0.912 0.278 0.278
7 H 0.278 0.912 0.278
8 H 0.278 0.278 0.912
9 H 0.127 0.578 0.127
10 H 0.422 0.873 0.873
11 H 0.127 0.127 0.578
12 H 0.873 0.422 0.873
13 Ba 0.388 0.388 0.388
14 Ba 0.612 0.612 0.612
15 La 0.000 0.000 0.000
16 Rh 0.000 0.000 0.500
17 Rh 0.000 0.500 0.000
18 Rh 0.500 0.000 0.000

Calculated values
Space group: R-3m (166)



The following is a GGA-PBE calculation of Ba2LaH6Ru after structural relaxation, from the Alexandria database.

a b c (Å): 6.259 5.756 5.756
angles (deg): 120.00 90.00 90.00
Element x y z (fractional)
1 H 0.835 0.141 0.283
2 H 0.165 0.283 0.141
3 H 0.835 0.141 0.859
4 H 0.165 0.859 0.717
5 H 0.835 0.717 0.859
6 H 0.165 0.859 0.141
7 Ba 0.837 0.667 0.333
8 Ba 0.163 0.333 0.667
9 Ru 0.000 0.000 0.000
10 La 0.500 0.000 0.000

Calculated values
Space group: P-3m1 (164)



The following is a GGA-PBE calculation of BaLaHS2 after structural relaxation, from the Alexandria database.

a b c (Å): 5.586 5.586 4.498
angles (deg): 90.00 90.00 90.00
Element x y z (fractional)
1 Ba 0.500 0.500 0.500
2 La 0.000 0.000 0.000
3 S 0.000 0.500 0.000
4 S 0.500 0.000 0.000
5 H 0.000 0.000 0.500

Calculated values
Space group: P4/mmm (123)



The following is a GGA-PBE calculation of BaLaSc2H after structural relaxation, from the Alexandria database.

a b c (Å): 5.100 4.996 5.100
angles (deg): 90.00 90.00 90.00
Element x y z (fractional)
1 H 0.000 0.000 0.000
2 Sc 0.500 0.000 0.000
3 Sc 0.000 0.000 0.500
4 Ba 0.500 0.500 0.500
5 La 0.000 0.500 0.000

Calculated values
Space group: P4/mmm (123)



The following is a GGA-PBE calculation of BaLaSnH2 after structural relaxation, from the Alexandria database.

a b c (Å): 4.845 6.401 4.845
angles (deg): 90.00 90.00 90.00
Element x y z (fractional)
1 H 0.500 0.000 0.000
2 H 0.000 0.000 0.500
3 Ba 0.500 0.500 0.500
4 Sn 0.000 0.500 0.000
5 La 0.000 0.000 0.000

Calculated values
Space group: P4/mmm (123)



The following is a GGA-PBE calculation of BaSrLa2H after structural relaxation, from the Alexandria database.

a b c (Å): 6.045 6.846 6.045
angles (deg): 90.00 90.00 90.00
Element x y z (fractional)
1 La 0.500 0.000 0.000
2 La 0.000 0.000 0.500
3 Ba 0.000 0.500 0.000
4 H 0.500 0.500 0.500
5 Sr 0.000 0.000 0.000

Calculated values
Space group: P4/mmm (123)
Energy above the most stable polymorph in this dataset: 1.262 eV per atom



The following is a GGA-PBE calculation of BaSrLa2H after structural relaxation, from the Alexandria database.

a b c (Å): 5.372 5.372 5.982
angles (deg): 90.00 90.00 90.00
Element x y z (fractional)
1 La 0.000 0.500 0.000
2 La 0.500 0.000 0.000
3 Ba 0.500 0.500 0.500
4 H 0.000 0.000 0.000
5 Sr 0.000 0.000 0.500

Calculated values
Space group: P4/mmm (123)
Energy above the most stable polymorph in this dataset: 0.012 eV per atom



| no. | energy (Ry/atom) |
| --- | --- |
| 1 | -0.3092 |
| 2 | -0.3218 |
| 3 | -0.3107 |
| 4 | -0.3862 |
| 5 | -0.3282 |
| 6 | -0.2797 |
| 7 | -0.1557 |
| 8 | -0.2476 |